{"formula": "CoSbP2O8", "functional": "PBE+U", "state": "optimized geometry", "lattice": [[-4.214, -2.545, 0.455], [3.108, -5.305, -0.887], [2.007, -0.480, 9.902]], "species": ["P", "O", "O", "O", "P", "O", "O", "O", "O", "O", "O", "Co", "P", "O", "O", "P", "Co", "O", "O", "O", "Sb", "Sb", "O", "O"], "frac_coords": [[0.627, 0.250, 0.406], [0.289, 0.750, 0.443], [0.855, 0.250, 0.052], [0.232, 0.945, 0.663], [0.108, 0.750, 0.095], [0.768, 0.445, 0.337], [0.232, 0.555, 0.663], [0.198, 0.250, 0.879], [0.145, 0.750, 0.948], [0.737, 0.057, 0.829], [0.263, 0.943, 0.171], [0.075, 0.250, 0.222], [0.892, 0.250, 0.905], [0.737, 0.443, 0.829], [0.322, 0.250, 0.384], [0.373, 0.750, 0.594], [0.925, 0.750, 0.778], [0.711, 0.250, 0.557], [0.678, 0.750, 0.616], [0.263, 0.557, 0.171], [0.437, 0.250, 0.715], [0.563, 0.750, 0.285], [0.768, 0.055, 0.337], [0.802, 0.750, 0.121]], "space_group": "P2_1/m (11)", "dft_energy_ev_per_cell": -161.48}